1.
Computed, not measured: a geometry-optimized TcBI2N structure at the PBEsol level of DFT.

Output
The space group is No. 123. The value obtained for the raw formation energy is 192.35 kJ/mol of atoms. The crystal system is tetragonal. As for the total magnetic moment: 0.8406 μB per atom. For the calculated total energy, the calculation gives -4.08 eV/atom.

Cell and atoms, written as POSCAR:
```
TcBI2N
1.0
4.0442 0.0000 0.0000
0.0000 5.0330 0.0000
0.0000 0.0000 5.0330
N I Tc B
1 2 1 1
Direct
0.5000 0.5000 0.5000
0.0000 0.0000 0.5000
0.0000 0.5000 0.0000
0.5000 0.0000 0.0000
0.0000 0.0000 0.0000
```

2.
Computed, not measured: a geometry-optimized BTeI2N structure at the PBEsol level of DFT.

Output
The space group is No. 123. The value obtained for the raw formation energy is 149.49 kJ/mol of atoms. The crystal system is tetragonal. As for the total magnetic moment: 0.0001 μB per atom. For the calculated total energy, the calculation gives -2.97 eV/atom.

Cell and atoms, written as POSCAR:
```
BTeI2N
1.0
4.5952 0.0000 0.0000
0.0000 4.9404 0.0000
0.0000 0.0000 4.9404
Te N B I
1 1 1 2
Direct
0.5000 0.0000 0.0000
0.0000 0.0000 0.0000
0.5000 0.5000 0.5000
0.0000 0.5000 0.0000
0.0000 0.0000 0.5000
```

3.
Computed, not measured: a geometry-optimized ZnBIN2 structure at the PBEsol level of DFT.

Output
The space group is No. 123. The value obtained for the raw formation energy is 129.38 kJ/mol of atoms. The crystal system is tetragonal. As for the total magnetic moment: 0.0002 μB per atom. For the calculated total energy, the calculation gives -4.14 eV/atom.

Cell and atoms, written as POSCAR:
```
ZnBIN2
1.0
-1.8091 -1.1769 -2.6622
2.9020 -0.9720 -1.5424
-0.4144 -5.6422 2.7759
N I Zn B
2 1 1 1
Direct
0.0000 0.5000 0.0000
0.5000 0.0000 0.0000
0.0000 0.0000 0.5000
0.5000 0.5000 0.5000
0.0000 0.0000 0.0000
```

4.
Computed, not measured: a geometry-optimized NaBI2O structure at the PBEsol level of DFT.

Output
The space group is No. 123. The value obtained for the raw formation energy is 99.25 kJ/mol of atoms. The crystal system is tetragonal. As for the total magnetic moment: 0.3995 μB per atom. For the calculated total energy, the calculation gives -2.41 eV/atom.

Cell and atoms, written as POSCAR:
```
NaBI2O
1.0
-2.7170 2.7421 1.5782
-2.6155 -4.2214 2.8319
3.4595 0.8552 4.4700
Na I O B
1 2 1 1
Direct
0.0000 0.0000 0.0000
0.0000 0.0000 0.5000
0.0000 0.5000 0.0000
0.5000 0.0000 0.0000
0.5000 0.5000 0.5000
```

5.
Computed, not measured: a geometry-optimized NbBIO2 structure at the PBEsol level of DFT.

Output
The space group is No. 123. The value obtained for the raw formation energy is 56.31 kJ/mol of atoms. The crystal system is tetragonal. As for the total magnetic moment: 0.3034 μB per atom. For the calculated total energy, the calculation gives -5.44 eV/atom.

Cell and atoms, written as POSCAR:
```
NbBIO2
1.0
3.8204 0.0000 0.0000
0.0000 3.8204 0.0000
0.0000 0.0000 4.4521
Nb B O I
1 1 2 1
Direct
0.5000 0.5000 0.5000
0.0000 0.0000 0.0000
0.5000 0.0000 0.0000
0.0000 0.5000 0.0000
0.0000 0.0000 0.5000
```

6.
Computed, not measured: a geometry-optimized NbBTe2I structure at the PBEsol level of DFT.

Output
The space group is No. 123. The value obtained for the raw formation energy is 108.05 kJ/mol of atoms. The crystal system is tetragonal. As for the total magnetic moment: 0.1116 μB per atom. For the calculated total energy, the calculation gives -4.21 eV/atom.

Cell and atoms, written as POSCAR:
```
NbBTe2I
1.0
5.3297 0.0000 0.0000
0.0000 5.3297 0.0000
0.0000 0.0000 5.5667
Te I B Nb
2 1 1 1
Direct
0.5000 0.0000 0.0000
0.0000 0.5000 0.0000
0.0000 0.0000 0.5000
0.5000 0.5000 0.5000
0.0000 0.0000 0.0000
```

> The highest total magnetic moment belongs to which entry?

TcBI2N

What did the second record say?
Computed, not measured: a geometry-optimized BTeI2N structure at the PBEsol level of DFT.

Output
The space group is No. 123. The value obtained for the raw formation energy is 149.49 kJ/mol of atoms. The crystal system is tetragonal. As for the total magnetic moment: 0.0001 μB per atom. For the calculated total energy, the calculation gives -2.97 eV/atom.

Cell and atoms, written as POSCAR:
```
BTeI2N
1.0
4.5952 0.0000 0.0000
0.0000 4.9404 0.0000
0.0000 0.0000 4.9404
Te N B I
1 1 1 2
Direct
0.5000 0.0000 0.0000
0.0000 0.0000 0.0000
0.5000 0.5000 0.5000
0.0000 0.5000 0.0000
0.0000 0.0000 0.5000
```

> The lowest raw formation energy belongs to which entry?

NbBIO2